# CeP2Ir

An optimized crystal structure of CeP2Ir (PBE-GGA, the Alexandria database).

Unit cell a=3.915 b=3.915 c=5.860 alpha=70.48 beta=70.48 gamma=60.00
Last column: magnetic moment on the atom in μB.
Fractional coordinates of all 4 atoms:
Ir  0.000  0.000  0.000  0.04
P  0.272  0.272  0.183  -0.01
Ce  0.500  0.500  0.500  0.72
P  0.728  0.728  0.817  -0.01

Output
Space-group type = R-3m
Calculated volume = 17.94 A^3/atom
Magnetic moment = 0.9 μB per formula unit
D(E_F) = 6.386 states/eV per cell
Energy of formation = -1030 meV/atom

***

# Ce2P3Ir2

An optimized crystal structure of Ce2P3Ir2 (PBE-GGA, the Alexandria database).

Unit cell a=4.028 b=7.069 c=9.049 alpha=90.00 beta=102.86 gamma=90.00
Fractional coordinates of all 14 atoms:
Ce  0.055  0.750  0.111
Ce  0.144  0.250  0.288
P  0.565  0.032  0.131
Ir  0.698  0.951  0.396
P  0.435  0.968  0.869
P  0.565  0.468  0.131
Ce  0.945  0.250  0.889
Ir  0.302  0.451  0.604
P  0.225  0.750  0.451
Ir  0.302  0.049  0.604
P  0.435  0.532  0.869
P  0.775  0.250  0.549
Ce  0.856  0.750  0.712
Ir  0.698  0.549  0.396

Output
Space-group type = Cmcm
Calculated volume = 17.94 A^3/atom
Magnetic moment = 0.0 μB per formula unit
D(E_F) = 10.274 states/eV per cell
Energy of formation = -1000 meV/atom

***

# Ce6PIr3

An optimized crystal structure of Ce6PIr3 (PBE-GGA, the Alexandria database).

Unit cell a=4.047 b=11.380 c=11.818 alpha=107.20 beta=90.00 gamma=90.00
Last column: magnetic moment on the atom in μB.
Fractional coordinates of all 20 atoms:
Ce  0.250  0.880  0.537  0.83
Ir  0.750  0.686  0.496  -0.04
P  0.250  0.953  0.309  -0.04
Ce  0.750  0.741  0.269  0.70
Ir  0.750  0.151  0.077  -0.05
Ce  0.250  0.607  0.940  0.50
Ce  0.250  0.195  0.243  0.71
Ir  0.250  0.849  0.923  -0.05
Ir  0.250  0.562  0.164  -0.05
Ce  0.250  0.525  0.386  0.63
Ce  0.750  0.120  0.463  0.83
Ce  0.250  0.086  0.896  0.64
Ce  0.750  0.914  0.104  0.64
Ce  0.750  0.393  0.060  0.50
Ir  0.250  0.314  0.504  -0.04
Ce  0.750  0.805  0.757  0.71
Ce  0.750  0.475  0.614  0.63
Ir  0.750  0.438  0.836  -0.05
P  0.750  0.047  0.691  -0.04
Ce  0.250  0.259  0.731  0.70

Output
Space-group type = P2_1/m
Calculated volume = 26.00 A^3/atom
Magnetic moment = 4.9 μB per formula unit
D(E_F) = 53.888 states/eV per cell
Energy of formation = -708 meV/atom

***

# Ce3P4Ir2

An optimized crystal structure of Ce3P4Ir2 (PBE-GGA, the Alexandria database).

Unit cell a=4.188 b=5.681 c=7.942 alpha=98.86 beta=90.00 gamma=111.63
Last column: magnetic moment on the atom in μB.
Fractional coordinates of all 9 atoms:
Ce  0.000  0.000  0.000  0.44
Ir  0.611  0.222  0.286  -0.02
Ir  0.389  0.778  0.714  -0.02
Ce  0.666  0.332  0.672  0.30
Ce  0.334  0.668  0.328  0.30
P  0.944  0.888  0.613  0.00
P  0.056  0.112  0.387  0.00
P  0.276  0.553  0.946  -0.01
P  0.724  0.447  0.054  -0.01

Output
Space-group type = C2/m
Calculated volume = 19.25 A^3/atom
Magnetic moment = 1.2 μB per formula unit
D(E_F) = 10.658 states/eV per cell
Energy of formation = -1131 meV/atom

***

# Ce2PIr3

An optimized crystal structure of Ce2PIr3 (PBE-GGA, the Alexandria database).

Unit cell a=5.094 b=5.094 c=5.094 alpha=66.03 beta=66.03 gamma=66.03
Fractional coordinates of all 6 atoms:
Ir  0.500  0.000  0.000
P  0.000  0.000  0.000
Ir  0.000  0.500  0.000
Ce  0.620  0.620  0.620
Ir  0.000  0.000  0.500
Ce  0.380  0.380  0.380

Output
Space-group type = R-3m
Calculated volume = 17.61 A^3/atom
Magnetic moment = 0.0 μB per formula unit
D(E_F) = 4.431 states/eV per cell
Energy of formation = -896 meV/atom

***

# CeP3Ir3

An optimized crystal structure of CeP3Ir3 (PBE-GGA, the Alexandria database).

Unit cell a=6.469 b=6.469 c=6.469 alpha=90.00 beta=90.00 gamma=90.00
Last column: magnetic moment on the atom in μB.
Fractional coordinates of all 14 atoms:
P  0.500  0.000  0.750  0.01
P  0.500  0.000  0.250  0.01
P  0.000  0.750  0.500  0.01
Ir  0.000  0.500  0.750  0.04
P  0.250  0.500  0.000  0.01
Ir  0.000  0.500  0.250  0.04
Ce  0.500  0.500  0.500  1.03
P  0.000  0.250  0.500  0.01
Ir  0.250  0.000  0.500  0.04
Ir  0.500  0.750  0.000  0.04
Ce  0.000  0.000  0.000  1.03
Ir  0.500  0.250  0.000  0.04
Ir  0.750  0.000  0.500  0.04
P  0.750  0.500  0.000  0.01

Output
Space-group type = Pm-3n
Calculated volume = 19.34 A^3/atom
Magnetic moment = 1.3 μB per formula unit
D(E_F) = 18.726 states/eV per cell
Energy of formation = -584 meV/atom

***

# CeP2Ir4

An optimized crystal structure of CeP2Ir4 (PBE-GGA, the Alexandria database).

Unit cell a=3.805 b=7.631 c=7.631 alpha=90.00 beta=90.00 gamma=90.00
Fractional coordinates of all 14 atoms:
P  0.500  0.729  0.729
Ce  0.000  0.500  0.500
Ir  0.500  0.428  0.825
Ir  0.000  0.325  0.072
Ir  0.500  0.175  0.572
Ir  0.500  0.572  0.175
Ir  0.500  0.825  0.428
P  0.000  0.771  0.229
Ir  0.000  0.928  0.675
Ce  0.500  0.000  0.000
P  0.500  0.271  0.271
Ir  0.000  0.072  0.325
Ir  0.000  0.675  0.928
P  0.000  0.229  0.771

Output
Space-group type = P4_2/mnm
Calculated volume = 15.83 A^3/atom
Magnetic moment = 0.0 μB per formula unit
D(E_F) = 12.655 states/eV per cell
Energy of formation = -677 meV/atom

***

# Ce2P2Ir

An optimized crystal structure of Ce2P2Ir (PBE-GGA, the Alexandria database).

Unit cell a=4.096 b=5.687 c=9.813 alpha=78.46 beta=77.95 gamma=68.89
Last column: magnetic moment on the atom in μB.
Fractional coordinates of all 10 atoms:
Ce  0.697  0.250  0.356  0.25
P  0.662  0.811  0.865  -0.02
P  0.956  0.673  0.415  -0.01
Ce  0.303  0.750  0.644  0.25
Ir  0.426  0.827  0.321  -0.03
Ce  0.080  0.741  0.100  0.55
P  0.044  0.327  0.585  -0.01
Ce  0.920  0.259  0.900  0.55
P  0.338  0.189  0.135  -0.02
Ir  0.574  0.173  0.679  -0.03

Output
Space-group type = C2/m
Calculated volume = 20.66 A^3/atom
Magnetic moment = 0.9 μB per formula unit
D(E_F) = 15.652 states/eV per cell
Energy of formation = -1186 meV/atom

***

# Ce2P4Ir3Pd

An optimized crystal structure of Ce2P4Ir3Pd (PBE-GGA, the Alexandria database).

Unit cell a=4.232 b=4.232 c=9.430 alpha=90.00 beta=90.00 gamma=90.00
Last column: magnetic moment on the atom in μB.
Fractional coordinates of all 10 atoms:
P  0.000  0.500  0.362  0.00
P  0.500  0.000  0.638  0.00
P  0.500  0.500  0.000  0.00
Ir  0.000  0.000  0.500  0.01
P  0.000  0.000  0.000  0.00
Ir  0.500  0.000  0.888  -0.01
Ir  0.000  0.500  0.112  -0.01
Pd  0.500  0.500  0.500  0.01
Ce  0.500  0.000  0.243  0.17
Ce  0.000  0.500  0.757  0.17

Output
Space-group type = P-4m2
Calculated volume = 16.89 A^3/atom
Magnetic moment = 0.3 μB per formula unit
D(E_F) = 7.518 states/eV per cell
Energy of formation = -1023 meV/atom

***

# CeP2Ir5Pd

An optimized crystal structure of CeP2Ir5Pd (PBE-GGA, the Alexandria database).

Unit cell a=3.976 b=3.976 c=10.428 alpha=90.00 beta=90.00 gamma=90.00
Last column: magnetic moment on the atom in μB.
Fractional coordinates of all 9 atoms:
Pd  0.000  0.000  0.000  -0.01
P  0.500  0.500  0.279  0.00
Ir  0.500  0.000  0.831  -0.01
Ir  0.000  0.500  0.831  -0.01
P  0.500  0.500  0.721  0.00
Ce  0.000  0.000  0.500  0.57
Ir  0.500  0.500  0.500  -0.03
Ir  0.500  0.000  0.169  -0.01
Ir  0.000  0.500  0.169  -0.01

Output
Space-group type = P4/mmm
Calculated volume = 18.31 A^3/atom
Magnetic moment = 0.6 μB per formula unit
D(E_F) = 8.639 states/eV per cell
Energy of formation = -306 meV/atom

***

# CePmP2Ir5

An optimized crystal structure of CePmP2Ir5 (PBE-GGA, the Alexandria database).

Unit cell a=4.036 b=4.036 c=11.195 alpha=90.00 beta=90.00 gamma=90.00
Last column: magnetic moment on the atom in μB.
Fractional coordinates of all 9 atoms:
Ir  0.000  0.500  0.798  -0.01
Pm  0.000  0.000  0.000  0.00
Ir  0.500  0.500  0.500  -0.04
Ce  0.000  0.000  0.500  0.64
P  0.500  0.500  0.705  0.00
Ir  0.500  0.000  0.798  -0.01
P  0.500  0.500  0.295  0.00
Ir  0.500  0.000  0.202  -0.01
Ir  0.000  0.500  0.202  -0.01

Output
Space-group type = P4/mmm
Calculated volume = 20.26 A^3/atom
Magnetic moment = 0.7 μB per formula unit
D(E_F) = 8.267 states/eV per cell
Energy of formation = -620 meV/atom